Record 1
Material: Li2PmCdAu4
Method: DFT, PBE-GGA
State: optimized geometry

As for the density of states at the Fermi level: 3.8 states/eV/cell. For the volume, the calculation gives 20.12 Å³ per atom. For the energy, the calculation gives -3.3574 eV per atom. The crystal system is trigonal. As for the size of the total moment: 0.00 μB per formula unit.

```
Li2PmCdAu4
1.0
-1.1222 -1.9892 -3.9780
3.0026 -0.0488 -3.4673
3.8763 -8.3564 0.4404
Au Cd Pm Li
4 1 1 2
Direct
0.8815 0.8815 0.3556 Au
0.1185 0.1185 0.6444 Au
0.6066 0.6066 0.1802 Au
0.3934 0.3934 0.8198 Au
0.5000 0.5000 0.5000 Cd
0.0000 0.0000 0.0000 Pm
0.7646 0.7646 0.7063 Li
0.2354 0.2354 0.2937 Li
```



Record 2
Material: LiPmCdAu2
Method: DFT, PBE-GGA
State: optimized geometry

As for the density of states at the Fermi level: 4.8 states/eV/cell. For the volume, the calculation gives 21.56 Å³ per atom. For the energy, the calculation gives -3.3512 eV per atom. The crystal system is orthorhombic. As for the size of the total moment: 0.00 μB per formula unit.

```
LiPmCdAu2
1.0
5.7298 0.0000 0.0000
0.0000 5.5343 0.0000
0.0000 0.0000 6.7991
Cd Pm Au Li
2 2 4 2
Direct
0.4100 0.2500 0.0000 Cd
0.5900 0.7500 0.0000 Cd
0.2481 0.2500 0.5000 Pm
0.7519 0.7500 0.5000 Pm
0.2339 0.7500 0.7105 Au
0.2339 0.7500 0.2895 Au
0.7661 0.2500 0.2895 Au
0.7661 0.2500 0.7105 Au
0.0000 0.0000 0.0000 Li
0.0000 0.5000 0.0000 Li
```



Record 3
Material: LiPmCdAu
Method: DFT, PBE-GGA
State: optimized geometry

As for the density of states at the Fermi level: 6.4 states/eV/cell. For the volume, the calculation gives 21.56 Å³ per atom. For the energy, the calculation gives -3.1761 eV per atom. The crystal system is cubic. As for the size of the total moment: 0.03 μB per formula unit.

```
LiPmCdAu
1.0
-4.4800 0.5411 -2.0570
-2.5500 -3.9899 -1.4740
-4.0552 -1.4079 2.4835
Pm Li Cd Au
1 1 1 1
Direct
0.0000 0.0000 0.0000 Pm
0.2500 0.2500 0.2500 Li
0.5000 0.5000 0.5000 Cd
0.7500 0.7500 0.7500 Au
```